Record 1
A crystal of Pr2TeO2 relaxed with PBEsol, computed with SCAN.

The value obtained for the theoretical density is 6.943 Mg/m³. Its total magnetic moment is 0.0 μB per formula unit. The density of states at the Fermi level comes out at 0.000 states/eV/atom. For the total energy, the calculation gives -2.23698 Ry/atom.

The structure belongs to space group I4/mmm (No. 139); the cell edges are 4.0503, 4.0503 and 12.8707 Å and the angles 90.00°, 90.00° and 90.00°. The asymmetric unit holds Pr at (0.0000, 0.0000, 0.1586), Te at (0.0000, 0.0000, 0.5000) and O at (0.0000, 0.5000, 0.2500).

Record 2
A crystal of Li4CaMg relaxed with PBEsol, computed with SCAN.

The value obtained for the theoretical density is 1.123 Mg/m³. The formation energy comes out at -27 meV/atom. Its total magnetic moment is 0.3 μB per formula unit. The density of states at the Fermi level comes out at 0.421 states/eV/atom. For the total energy, the calculation gives -0.29835 Ry/atom.

The structure belongs to space group F-43m (No. 216); the cell edges are 8.1677, 8.1677 and 8.1677 Å and the angles 90.00°, 90.00° and 90.00°. The asymmetric unit holds Li at (0.1232, 0.1232, 0.3768), Ca at (0.0000, 0.0000, 0.0000) and Mg at (0.2500, 0.2500, 0.7500).

Record 3
A crystal of Zn2AgTe relaxed with PBEsol, computed with SCAN.

The value obtained for the theoretical density is 8.042 Mg/m³. For the offset from the most stable computed form, the calculation gives 0.20 eV/f.u. Its total magnetic moment is 0.0 μB per formula unit. The density of states at the Fermi level comes out at 0.431 states/eV/atom. For the total energy, the calculation gives -1.73897 Ry/atom.

The structure belongs to space group Immm (No. 71); the cell edges are 3.9633, 4.6059 and 8.2858 Å and the angles 90.00°, 90.00° and 90.00°. The asymmetric unit holds Zn at (0.0000, 0.0000, 0.2411), Ag at (0.0000, 0.5000, 0.5000) and Te at (0.0000, 0.5000, 0.0000).

Record 4
A crystal of LiCo2O4 relaxed with PBEsol, computed with SCAN.

The value obtained for the theoretical density is 4.941 Mg/m³. For the offset from the most stable computed form, the calculation gives 0.34 eV/f.u. Its total magnetic moment is 1.0 μB per formula unit. The density of states at the Fermi level comes out at 0.407 states/eV/atom. For the total energy, the calculation gives -0.76531 Ry/atom.

The structure belongs to space group P2/m (No. 10); the cell edges are 4.8016, 2.7970 and 5.0058 Å and the angles 90.00°, 109.31° and 90.00°. The asymmetric unit holds Li at (0.0000, 0.0000, 0.0000), Co at (0.0000, 0.5000, 0.5000), Co at (0.5000, 0.0000, 0.5000), O at (0.2330, 0.0000, 0.6999) and O at (0.2601, 0.5000, 0.2927).

Record 5
A crystal of SrFe2Ag relaxed with PBEsol, computed with SCAN.

The value obtained for the theoretical density is 6.492 Mg/m³. The formation energy comes out at 579 meV/atom. Its total magnetic moment is 5.8 μB per formula unit. The density of states at the Fermi level comes out at 0.748 states/eV/atom. For the total energy, the calculation gives -1.60934 Ry/atom.

The structure belongs to space group P2/m (No. 10); the cell edges are 3.0051, 4.6295 and 5.7250 Å and the angles 90.00°, 99.42° and 90.00°. The asymmetric unit holds Sr at (0.0000, 0.0000, 0.0000), Fe at (0.2823, 0.5000, 0.6545) and Ag at (0.5000, 0.0000, 0.5000).

Record 6
A crystal of TiAlH2Au relaxed with PBEsol, computed with SCAN.

The value obtained for the theoretical density is 6.275 Mg/m³. Its total magnetic moment is 0.6 μB per formula unit. The density of states at the Fermi level comes out at 0.479 states/eV/atom. For the total energy, the calculation gives -1.44141 Ry/atom.

The structure belongs to space group P4/mmm (No. 123); the cell edges are 3.6080, 3.6080 and 5.5670 Å and the angles 90.00°, 90.00° and 90.00°. The asymmetric unit holds Ti at (0.0000, 0.0000, 0.0000), Al at (0.0000, 0.0000, 0.5000), H at (0.0000, 0.5000, 0.5000) and Au at (0.5000, 0.5000, 0.0000).

Record 7
A crystal of Sr2FeO3F relaxed with PBEsol, computed with SCAN.

The value obtained for the theoretical density is 5.194 Mg/m³. For the offset from the most stable computed form, the calculation gives 0.00 eV/f.u. Its total magnetic moment is 4.7 μB per formula unit. The density of states at the Fermi level comes out at 0.101 states/eV/atom. For the total energy, the calculation gives -1.10123 Ry/atom.

The structure belongs to space group P4/nmm (No. 129, origin choice 2); the cell edges are 3.8039, 3.8039 and 13.1728 Å and the angles 90.00°, 90.00° and 90.00°. The asymmetric unit holds Sr at (0.2500, 0.2500, 0.1044), Sr at (0.2500, 0.2500, 0.3766), Fe at (0.2500, 0.2500, 0.7714), O at (0.2500, 0.2500, 0.9177), O at (0.2500, 0.7500, 0.2523) and F at (0.2500, 0.2500, 0.5642).

Record 8
A crystal of Na2CoAs2 relaxed with PBEsol, computed with SCAN.

The value obtained for the theoretical density is 4.720 Mg/m³. The formation energy comes out at -323 meV/atom. Its total magnetic moment is 0.0 μB per formula unit. The density of states at the Fermi level comes out at 0.370 states/eV/atom. For the total energy, the calculation gives -0.99564 Ry/atom.

The structure belongs to space group P4/mbm (No. 127); the cell edges are 6.0343, 6.0343 and 4.9226 Å and the angles 90.00°, 90.00° and 90.00°. The asymmetric unit holds Na at (0.1769, 0.3231, 0.0000), Co at (0.0000, 0.0000, 0.5000) and As at (0.1464, 0.6464, 0.5000).

Record 9
A crystal of SbTe2SF relaxed with PBEsol, computed with SCAN.

The value obtained for the theoretical density is 5.880 Mg/m³. Its total magnetic moment is 0.0 μB per formula unit. The density of states at the Fermi level comes out at 0.907 states/eV/atom. For the total energy, the calculation gives -1.80650 Ry/atom.

The structure belongs to space group P4/mmm (No. 123); the cell edges are 4.5479, 4.5479 and 5.8439 Å and the angles 90.00°, 90.00° and 90.00°. The asymmetric unit holds Sb at (0.0000, 0.0000, 0.0000), Te at (0.0000, 0.5000, 0.5000), S at (0.5000, 0.5000, 0.0000) and F at (0.0000, 0.0000, 0.5000).

Record 10
A crystal of TaSi5 relaxed with PBEsol, computed with SCAN.

The value obtained for the theoretical density is 6.132 Mg/m³. For the offset from the most stable computed form, the calculation gives 2.24 eV/f.u. Its total magnetic moment is 0.0 μB per formula unit. The density of states at the Fermi level comes out at 0.514 states/eV/atom. For the total energy, the calculation gives -1.37968 Ry/atom.

The structure belongs to space group P6/mmm (No. 191); the cell edges are 4.8295, 4.8295 and 4.3087 Å and the angles 90.00°, 90.00° and 120.00°. The asymmetric unit holds Ta at (0.0000, 0.0000, 0.0000), Si at (0.0000, 0.5000, 0.5000) and Si at (0.3333, 0.6667, 0.0000).

Record 11
A crystal of CdSb2Cl relaxed with PBEsol, computed with SCAN.

The value obtained for the theoretical density is 6.447 Mg/m³. For the offset from the most stable computed form, the calculation gives 0.24 eV/f.u. Its total magnetic moment is 0.0 μB per formula unit. The density of states at the Fermi level comes out at 0.336 states/eV/atom. For the total energy, the calculation gives -2.08821 Ry/atom.

The structure belongs to space group Immm (No. 71); the cell edges are 3.4441, 4.6650 and 12.5479 Å and the angles 90.00°, 90.00° and 90.00°. The asymmetric unit holds Cd at (0.0000, 0.0000, 0.0000), Sb at (0.0000, 0.5000, 0.2990) and Cl at (0.0000, 0.0000, 0.5000).

Record 12
A crystal of BiPd2Pb2 relaxed with PBEsol, computed with SCAN.

The value obtained for the theoretical density is 12.608 Mg/m³. The formation energy comes out at -122 meV/atom. Its total magnetic moment is 0.0 μB per formula unit. The density of states at the Fermi level comes out at 0.387 states/eV/atom. For the total energy, the calculation gives -4.35550 Ry/atom.

The structure belongs to space group P4/mbm (No. 127); the cell edges are 7.8513, 7.8513 and 3.5733 Å and the angles 90.00°, 90.00° and 90.00°. The asymmetric unit holds Bi at (0.0000, 0.0000, 0.0000), Pd at (0.1333, 0.3667, 0.0000) and Pb at (0.1601, 0.6601, 0.5000).

Record 13
A crystal of AlCd2Pb relaxed with PBEsol, computed with SCAN.

The value obtained for the theoretical density is 8.451 Mg/m³. The formation energy comes out at 131 meV/atom. For the offset from the most stable computed form, the calculation gives 0.00 eV/f.u. Its total magnetic moment is 0.0 μB per formula unit. The density of states at the Fermi level comes out at 0.393 states/eV/atom. For the total energy, the calculation gives -2.64296 Ry/atom.

The structure belongs to space group P4/mmm (No. 123); the cell edges are 3.2041, 3.2041 and 8.7848 Å and the angles 90.00°, 90.00° and 90.00°. The asymmetric unit holds Al at (0.0000, 0.0000, 0.0000), Cd at (0.5000, 0.5000, 0.2170) and Pb at (0.0000, 0.0000, 0.5000).

Record 14
A crystal of Fe2PRh relaxed with PBEsol, computed with SCAN.

The value obtained for the theoretical density is 8.837 Mg/m³. The formation energy comes out at -234 meV/atom. Its total magnetic moment is 5.0 μB per formula unit. The density of states at the Fermi level comes out at 0.534 states/eV/atom. For the total energy, the calculation gives -1.49505 Ry/atom.

The structure belongs to space group P4mm (No. 99); the cell edges are 2.7827, 2.7827 and 5.9592 Å and the angles 90.00°, 90.00° and 90.00°. The asymmetric unit holds Fe at (0.0000, 0.0000, 0.0000), Fe at (0.5000, 0.5000, 0.2593), P at (0.0000, 0.0000, 0.4498) and Rh at (0.5000, 0.5000, 0.7109).

Record 15
A crystal of PuB2Ir3 relaxed with PBEsol, computed with SCAN.

The value obtained for the theoretical density is 17.650 Mg/m³. The formation energy comes out at -590 meV/atom. Its total magnetic moment is 5.1 μB per formula unit. The density of states at the Fermi level comes out at 1.142 states/eV/atom. For the total energy, the calculation gives -4.18742 Ry/atom.

The structure belongs to space group P6/mmm (No. 191); the cell edges are 5.6274, 5.6274 and 2.8895 Å and the angles 90.00°, 90.00° and 120.00°. The asymmetric unit holds Pu at (0.0000, 0.0000, 0.0000), B at (0.3333, 0.6667, 0.0000) and Ir at (0.0000, 0.5000, 0.5000).

Record 16
A crystal of Sc2Ge2Ir relaxed with PBEsol, computed with SCAN.

The value obtained for the theoretical density is 8.367 Mg/m³. The formation energy comes out at -1043 meV/atom. Its total magnetic moment is 0.0 μB per formula unit. The density of states at the Fermi level comes out at 0.485 states/eV/atom. For the total energy, the calculation gives -2.10152 Ry/atom.

The structure belongs to space group P4/mbm (No. 127); the cell edges are 6.4223, 6.4223 and 4.1133 Å and the angles 90.00°, 90.00° and 90.00°. The asymmetric unit holds Sc at (0.1720, 0.3280, 0.0000), Ge at (0.1367, 0.6367, 0.5000) and Ir at (0.0000, 0.0000, 0.5000).

Record 17
A crystal of Y2TlHg relaxed with PBEsol, computed with SCAN.

The value obtained for the theoretical density is 9.587 Mg/m³. The formation energy comes out at -697 meV/atom. Its total magnetic moment is 0.0 μB per formula unit. The density of states at the Fermi level comes out at 0.692 states/eV/atom. For the total energy, the calculation gives -3.65649 Ry/atom.

The structure belongs to space group Fm-3m (No. 225); the cell edges are 7.3910, 7.3910 and 7.3910 Å and the angles 90.00°, 90.00° and 90.00°. The asymmetric unit holds Y at (0.2500, 0.2500, 0.2500), Tl at (0.0000, 0.0000, 0.0000) and Hg at (0.0000, 0.0000, 0.5000).

Record 18
A crystal of La3PtC relaxed with PBEsol, computed with SCAN.

The value obtained for the theoretical density is 8.245 Mg/m³. The formation energy comes out at -366 meV/atom. Its total magnetic moment is 0.0 μB per formula unit. The density of states at the Fermi level comes out at 0.909 states/eV/atom. For the total energy, the calculation gives -3.10806 Ry/atom.

The structure belongs to space group Pm-3m (No. 221); the cell edges are 5.0084, 5.0084 and 5.0084 Å and the angles 90.00°, 90.00° and 90.00°. The asymmetric unit holds La at (0.0000, 0.0000, 0.5000), Pt at (0.5000, 0.5000, 0.5000) and C at (0.0000, 0.0000, 0.0000).

Record 19
A crystal of SbOs2W relaxed with PBEsol, computed with SCAN.

The value obtained for the theoretical density is 17.984 Mg/m³. Its total magnetic moment is 0.0 μB per formula unit. The density of states at the Fermi level comes out at 0.736 states/eV/atom. For the total energy, the calculation gives -4.54979 Ry/atom.

The structure belongs to space group F-43m (No. 216); the cell edges are 6.3279, 6.3279 and 6.3279 Å and the angles 90.00°, 90.00° and 90.00°. The asymmetric unit holds Sb at (0.0000, 0.0000, 0.0000), Os at (0.0000, 0.0000, 0.5000), Os at (0.2500, 0.2500, 0.2500) and W at (0.2500, 0.2500, 0.7500).

Record 20
A crystal of CaReNO2 relaxed with PBEsol, computed with SCAN.

The value obtained for the theoretical density is 6.251 Mg/m³. Its total magnetic moment is 2.0 μB per formula unit. The density of states at the Fermi level comes out at 0.801 states/eV/atom. For the total energy, the calculation gives -1.42572 Ry/atom.

The structure belongs to space group P4/mmm (No. 123); the cell edges are 4.1129, 4.1129 and 4.2761 Å and the angles 90.00°, 90.00° and 90.00°. The asymmetric unit holds Ca at (0.0000, 0.0000, 0.0000), Re at (0.5000, 0.5000, 0.5000), N at (0.0000, 0.0000, 0.5000) and O at (0.0000, 0.5000, 0.0000).